No. 1
Below is a relaxed structure of SmBe2IrRh, with properties calculated at the GGA-PBE level.

Summary:
Energy of formation   -0.642 eV/atom
DFT total energy   -31.60 eV/cell
N(E_F)   0.364 states/eV per atom
Theoretical density   9.9 g/cm³
Symmetry   I-4m2 (119)

```
data_SmBe2IrRh
_cell_length_a 4.175
_cell_length_b 4.175
_cell_length_c 5.356
_cell_angle_alpha 112.94
_cell_angle_beta 112.94
_cell_angle_gamma 90.00
_symmetry_space_group_name_H-M 'P 1'
_symmetry_Int_Tables_number 1
loop_
_symmetry_equiv_pos_as_xyz
'x,y,z'
loop_
_atom_site_label
_atom_site_fract_x
_atom_site_fract_y
_atom_site_fract_z
_atom_site_occupancy
Sm1 0.000 0.000 0.000 1
Be1 0.649 0.649 0.298 1
Be2 0.351 0.351 0.702 1
Ir1 0.250 0.750 0.500 1
Rh1 0.750 0.250 0.500 1
```

---

No. 2
Below is a relaxed structure of BaCuSn, with properties calculated at the GGA-PBE level.

Summary:
Energy of formation   -0.307 eV/atom
DFT total energy   -43.77 eV/cell
N(E_F)   0.407 states/eV per atom
Theoretical density   5.8 g/cm³
Symmetry   Pmma (51)

```
data_BaCuSn
_cell_length_a 4.994
_cell_length_b 8.670
_cell_length_c 8.675
_cell_angle_alpha 104.42
_cell_angle_beta 90.00
_cell_angle_gamma 90.00
_symmetry_space_group_name_H-M 'P 1'
_symmetry_Int_Tables_number 1
loop_
_symmetry_equiv_pos_as_xyz
'x,y,z'
loop_
_atom_site_label
_atom_site_fract_x
_atom_site_fract_y
_atom_site_fract_z
_atom_site_occupancy
Ba1 0.250 0.370 0.630 1
Ba2 0.250 0.870 0.130 1
Ba3 0.750 0.630 0.370 1
Ba4 0.750 0.130 0.870 1
Cu1 0.500 0.750 0.750 1
Cu2 0.000 0.250 0.250 1
Cu3 0.500 0.250 0.250 1
Cu4 0.000 0.750 0.750 1
Sn1 0.250 0.923 0.576 1
Sn2 0.250 0.423 0.076 1
Sn3 0.750 0.077 0.424 1
Sn4 0.750 0.577 0.924 1
```

---

No. 3
Below is a relaxed structure of PrNdGa2Pt2, with properties calculated at the GGA-PBE level.

Summary:
Energy of formation   -0.997 eV/atom
DFT total energy   -33.67 eV/cell
N(E_F)   0.752 states/eV per atom
Theoretical density   10.2 g/cm³
Symmetry   P-3m1 (164)

```
data_PrNdGa2Pt2
_cell_length_a 4.475
_cell_length_b 4.475
_cell_length_c 7.626
_cell_angle_alpha 90.00
_cell_angle_beta 90.00
_cell_angle_gamma 120.00
_symmetry_space_group_name_H-M 'P 1'
_symmetry_Int_Tables_number 1
loop_
_symmetry_equiv_pos_as_xyz
'x,y,z'
loop_
_atom_site_label
_atom_site_fract_x
_atom_site_fract_y
_atom_site_fract_z
_atom_site_occupancy
Pr1 0.000 0.000 0.000 1
Nd1 0.000 0.000 0.500 1
Ga1 0.667 0.333 0.254 1
Ga2 0.333 0.667 0.746 1
Pt1 0.667 0.333 0.746 1
Pt2 0.333 0.667 0.254 1
```

---

No. 4
Below is a relaxed structure of Ce3AgGe, with properties calculated at the GGA-PBE level.

Summary:
Energy of formation   -0.320 eV/atom
DFT total energy   -53.74 eV/cell
N(E_F)   2.632 states/eV per atom
Theoretical density   8.0 g/cm³
Symmetry   C2/m (12)

```
data_Ce3AgGe
_cell_length_a 4.388
_cell_length_b 7.127
_cell_length_c 8.520
_cell_angle_alpha 80.75
_cell_angle_beta 89.99
_cell_angle_gamma 107.93
_symmetry_space_group_name_H-M 'P 1'
_symmetry_Int_Tables_number 1
loop_
_symmetry_equiv_pos_as_xyz
'x,y,z'
loop_
_atom_site_label
_atom_site_fract_x
_atom_site_fract_y
_atom_site_fract_z
_atom_site_occupancy
Ce1 0.055 0.143 0.416 1
Ce2 0.463 0.959 0.599 1
Ce3 0.581 0.195 0.823 1
Ce4 0.989 0.011 0.005 1
Ce5 0.266 0.564 0.028 1
Ce6 0.778 0.590 0.393 1
Ag1 0.219 0.470 0.658 1
Ag2 0.825 0.684 0.763 1
Ge1 0.420 0.874 0.258 1
Ge2 0.624 0.280 0.163 1
```

---

No. 5
Below is a relaxed structure of KGeBi2, with properties calculated at the GGA-PBE level.

Summary:
Energy of formation   -0.019 eV/atom
DFT total energy   -27.10 eV/cell
N(E_F)   0.636 states/eV per atom
Theoretical density   6.4 g/cm³
Symmetry   I-42d (122)

```
data_KGeBi2
_cell_length_a 8.863
_cell_length_b 8.863
_cell_length_c 7.169
_cell_angle_alpha 51.82
_cell_angle_beta 51.82
_cell_angle_gamma 90.00
_symmetry_space_group_name_H-M 'P 1'
_symmetry_Int_Tables_number 1
loop_
_symmetry_equiv_pos_as_xyz
'x,y,z'
loop_
_atom_site_label
_atom_site_fract_x
_atom_site_fract_y
_atom_site_fract_z
_atom_site_occupancy
K1 0.500 0.500 0.000 1
K2 0.250 0.750 0.500 1
Ge1 0.000 0.000 0.000 1
Ge2 0.750 0.250 0.500 1
Bi1 0.693 0.125 0.250 1
Bi2 0.057 0.625 0.250 1
Bi3 0.375 0.307 0.750 1
Bi4 0.875 0.943 0.750 1
```

---

No. 6
Below is a relaxed structure of V3MoIr, with properties calculated at the GGA-PBE level.

Summary:
Energy of formation   -0.292 eV/atom
DFT total energy   -97.02 eV/cell
N(E_F)   0.838 states/eV per atom
Theoretical density   10.4 g/cm³
Symmetry   P1 (1)
E above lowest polymorph   0.000 eV/f.u.

```
data_V3MoIr
_cell_length_a 5.080
_cell_length_b 5.027
_cell_length_c 6.585
_cell_angle_alpha 78.80
_cell_angle_beta 70.77
_cell_angle_gamma 62.33
_symmetry_space_group_name_H-M 'P 1'
_symmetry_Int_Tables_number 1
loop_
_symmetry_equiv_pos_as_xyz
'x,y,z'
loop_
_atom_site_label
_atom_site_fract_x
_atom_site_fract_y
_atom_site_fract_z
_atom_site_occupancy
V1 0.989 0.803 0.479 1
V2 0.495 0.513 0.073 1
V3 0.481 0.719 0.677 1
V4 0.986 0.615 0.878 1
V5 0.988 0.427 0.272 1
V6 0.482 0.915 0.280 1
Mo1 0.498 0.318 0.470 1
Mo2 0.488 0.114 0.880 1
Ir1 0.993 0.218 0.661 1
Ir2 0.983 0.008 0.091 1
```